(1)
{"formula": "Mn2AlZn", "functional": "meta-GGA SCAN", "state": "PBEsol geometry", "total_magnetization_mub_per_cell": 5.8, "e_form_ev_per_atom": -0.301, "lattice_angstrom": [[2.717, 0.000, 0.000], [0.000, 2.717, 0.000], [0.000, 0.000, 6.885]], "species": ["Mn", "Mn", "Al", "Zn"], "frac_coords": [[0.000, 0.000, 0.250], [0.000, 0.000, 0.750], [0.500, 0.500, 0.000], [0.500, 0.500, 0.500]]}

***

(2)
{"formula": "Mn2AlZn", "functional": "meta-GGA SCAN", "state": "PBEsol geometry", "total_magnetization_mub_per_cell": 5.8, "e_form_ev_per_atom": -0.303, "lattice_angstrom": [[2.688, -3.504, 0.000], [2.688, 3.504, 0.000], [0.000, 0.000, 2.706]], "species": ["Mn", "Mn", "Al", "Zn"], "frac_coords": [[0.000, 0.500, 0.000], [0.500, 0.000, 0.000], [0.000, 0.000, 0.500], [0.500, 0.500, 0.500]]}

***

Electronic total energy, respectively: -14.746, -14.747 eV/atom.